Entry 1:
Sc2NbSiC after structural relaxation. Source: Alexandria, functional PBE. Values from VASP.

Structure (Quantum ESPRESSO input):
```
&SYSTEM
  ibrav = 0, nat = 5, ntyp = 4
/
ATOMIC_SPECIES
C 12.01 C.upf
Si 28.09 Si.upf
Nb 92.91 Nb.upf
Sc 44.96 Sc.upf
CELL_PARAMETERS angstrom
-0.897 4.739 1.825
-3.379 -1.309 1.738
2.644 -1.147 4.276
ATOMIC_POSITIONS angstrom
C -1.689 -0.654 0.869
Si -0.815 1.142 3.920
Nb 0.000 0.000 0.000
Sc -0.448 2.370 0.913
Sc 1.322 -0.573 2.138
```

Summary:
calculated density	3463	kg/m³
energy	-6.402	eV/atom
raw formation energy	1.07	eV/atom
M_tot	0.000	μB per atom

Entry 2:
Ca3Al2GeAu9 after structural relaxation. Source: Alexandria, functional PBE. Values from VASP.

Structure (Quantum ESPRESSO input):
```
&SYSTEM
  ibrav = 0, nat = 15, ntyp = 4
/
ATOMIC_SPECIES
Au 196.97 Au.upf
Ca 40.08 Ca.upf
Ge 72.64 Ge.upf
Al 26.98 Al.upf
CELL_PARAMETERS angstrom
-4.288 5.219 3.986
2.418 -6.585 3.508
5.556 3.078 1.947
ATOMIC_POSITIONS angstrom
Au 0.575 5.308 5.215
Au -0.935 -0.683 3.747
Au 0.983 -1.005 6.204
Au 1.209 -3.292 1.754
Au 2.704 2.717 3.236
Au 3.112 -3.596 4.225
Au 1.911 -0.327 2.484
Au -2.144 2.610 1.993
Au 1.776 2.039 6.957
Ca 3.873 -0.606 4.960
Ca -0.186 2.318 4.480
Ca 0.000 0.000 0.000
Ge 2.778 1.539 0.973
Al 1.085 -2.150 3.983
Al 2.602 3.862 5.457
```

Summary:
calculated density	9476	kg/m³
energy	-3.557	eV/atom
formation energy	-0.383	eV/atom
M_tot	0.000	μB per atom

Entry 3:
TiTe2F after structural relaxation. Source: Alexandria, functional PBE. Values from VASP.

Structure (Quantum ESPRESSO input):
```
&SYSTEM
  ibrav = 0, nat = 4, ntyp = 3
/
ATOMIC_SPECIES
Te 127.60 Te.upf
F 19.00 F.upf
Ti 47.87 Ti.upf
CELL_PARAMETERS angstrom
2.257 0.000 7.805
-1.128 1.954 7.805
-1.128 -1.954 7.805
ATOMIC_POSITIONS angstrom
Te 0.000 0.000 2.316
Te 0.000 0.000 21.098
F 0.000 0.000 0.000
Ti 0.000 0.000 11.707
```

Summary:
energy above the most stable polymorph in this dataset	0	kJ/mol of formula units
calculated density	5179	kg/m³
energy	-4.913	eV/atom
raw formation energy	-0.90	eV/atom
M_tot	0.000	μB per atom

Entry 4:
UCu2Cl8 after structural relaxation. Source: Alexandria, functional PBE. Values from VASP.

Structure (Quantum ESPRESSO input):
```
&SYSTEM
  ibrav = 0, nat = 11, ntyp = 3
/
ATOMIC_SPECIES
Cl 35.45 Cl.upf
Cu 63.55 Cu.upf
U 238.03 U.upf
CELL_PARAMETERS angstrom
6.986 -0.427 -0.299
0.514 7.557 0.618
0.514 3.181 6.883
ATOMIC_POSITIONS angstrom
Cl 2.121 1.037 0.724
Cl 1.459 2.892 4.508
Cl 6.554 5.083 6.039
Cl 4.751 3.528 2.465
Cl 5.893 9.274 6.478
Cl 3.263 6.783 4.738
Cl 1.459 5.228 1.164
Cl 6.554 7.419 2.694
Cu 5.492 1.913 1.336
Cu 2.522 8.398 5.866
U 0.000 0.000 0.000
```

Summary:
energy above the most stable polymorph in this dataset	0	kJ/mol of formula units
calculated density	3063	kg/m³
energy	-4.168	eV/atom
raw formation energy	-1.05	eV/atom
M_tot	0.118	μB per atom

Entry 5:
SnTe2HPd after structural relaxation. Source: Alexandria, functional PBE. Values from VASP.

Structure (Quantum ESPRESSO input):
```
&SYSTEM
  ibrav = 0, nat = 5, ntyp = 4
/
ATOMIC_SPECIES
Te 127.60 Te.upf
Pd 106.42 Pd.upf
Sn 118.71 Sn.upf
H 1.01 H.upf
CELL_PARAMETERS angstrom
5.560 0.000 0.000
0.000 5.560 0.000
0.000 0.000 3.491
ATOMIC_POSITIONS angstrom
Te 0.000 2.780 0.000
Te 2.780 0.000 0.000
Pd 0.000 0.000 0.000
Sn 2.780 2.780 1.745
H 0.000 0.000 1.745
```

Summary:
calculated density	7407	kg/m³
energy	-3.832	eV/atom
M_tot	0.000	μB per atom

Entry 6:
Ta3ZnTc after structural relaxation. Source: Alexandria, functional PBE. Values from VASP.

Structure (Quantum ESPRESSO input):
```
&SYSTEM
  ibrav = 0, nat = 5, ntyp = 3
/
ATOMIC_SPECIES
Ta 180.95 Ta.upf
Tc 98.00 Tc.upf
Zn 65.41 Zn.upf
CELL_PARAMETERS angstrom
4.624 0.000 0.000
0.000 4.624 0.000
0.000 0.000 4.624
ATOMIC_POSITIONS angstrom
Ta 0.000 0.000 2.312
Ta 0.000 2.312 0.000
Ta 2.312 0.000 0.000
Tc 2.312 2.312 2.312
Zn 0.000 0.000 0.000
```

Summary:
energy above the most stable polymorph in this dataset	170	kJ/mol of formula units
calculated density	11865	kg/m³
energy	-7.889	eV/atom
formation energy	1.551	eV/atom
M_tot	0.000	μB per atom

Entry 7:
CrIrSeN2 after structural relaxation. Source: Alexandria, functional PBE. Values from VASP.

Structure (Quantum ESPRESSO input):
```
&SYSTEM
  ibrav = 0, nat = 5, ntyp = 4
/
ATOMIC_SPECIES
Ir 192.22 Ir.upf
Se 78.96 Se.upf
Cr 52.00 Cr.upf
N 14.01 N.upf
CELL_PARAMETERS angstrom
3.631 0.000 0.000
0.000 3.631 0.000
0.000 0.000 5.354
ATOMIC_POSITIONS angstrom
Ir 1.815 1.815 2.677
Se 0.000 0.000 2.677
Cr 0.000 0.000 0.000
N 1.815 0.000 0.000
N 0.000 1.815 0.000
```

Summary:
energy above the most stable polymorph in this dataset	0	kJ/mol of formula units
calculated density	8262	kg/m³
energy	-6.790	eV/atom
raw formation energy	0.93	eV/atom
M_tot	0.147	μB per atom